No. 1
## ReNiPt14 (PBE)

Data for a geometry-optimized ReNiPt14 structure.

Its uncorrected energy is -6.4843 eV per atom. As for the total moment: 2.17 μB per cell. The value obtained for the formation energy is -0.0592 eV/atom.

The structure belongs to space group P4/mmm (No. 123); the cell edges are 5.601, 5.601 and 7.845 Å and the angles 90.00°, 90.00° and 90.00°. The inequivalent atoms are Re at (0.000, 0.000, 0.000), Ni at (0.500, 0.500, 0.000), Pt at (0.000, 0.000, 0.500), Pt at (0.000, 0.500, 0.000), Pt at (0.000, 0.500, 0.500), Pt at (0.249, 0.249, 0.242) and Pt at (0.500, 0.500, 0.500).

=====

No. 2
## ReNiPt2 (PBE)

Data for a geometry-optimized ReNiPt2 structure.

Its uncorrected energy is -7.6064 eV per atom. As for the total moment: 1.97 μB per cell. The calculation puts the energy relative to the lowest polymorph listed for this composition at 0.090 eV per atom. The value obtained for the formation energy is -0.0286 eV/atom.

The structure belongs to space group R3m (No. 160, hexagonal axes); the cell edges are 2.7834, 2.7834 and 25.9162 Å and the angles 90.00°, 90.00° and 120.00°. The inequivalent atoms are Re at (0.0000, 0.0000, 0.0000), Ni at (0.0000, 0.0000, 0.1660), Pt at (0.0000, 0.0000, 0.5815) and Pt at (0.0000, 0.0000, 0.7513).

=====

Copy entry 1 word for word.
## ReNiPt14 (PBE)

Data for a geometry-optimized ReNiPt14 structure.

Its uncorrected energy is -6.4843 eV per atom. As for the total moment: 2.17 μB per cell. The value obtained for the formation energy is -0.0592 eV/atom.

The structure belongs to space group P4/mmm (No. 123); the cell edges are 5.601, 5.601 and 7.845 Å and the angles 90.00°, 90.00° and 90.00°. The inequivalent atoms are Re at (0.000, 0.000, 0.000), Ni at (0.500, 0.500, 0.000), Pt at (0.000, 0.000, 0.500), Pt at (0.000, 0.500, 0.000), Pt at (0.000, 0.500, 0.500), Pt at (0.249, 0.249, 0.242) and Pt at (0.500, 0.500, 0.500).

=====

- Which value of total moment does entry 2 give?
  1.97 μB per cell

=====

- Which value of total moment does entry 2 give?
  1.97 μB per cell